(1)
Entry from the Open Quantum Materials Database: a relaxed structure of NdHoZn3 (PBE).

Results
- space group = P6/mmm (191)
- E_form (meV per atom) = -124.1

a = 5.717 Å, b = 5.717 Å, c = 8.007 Å
α = 90.00°, β = 90.00°, γ = 120.00°
Sites, in units of the cell vectors:
Zn1 0.500 0.500 0.845
Zn2 0.000 0.500 0.155
Zn3 0.500 0.500 0.155
Zn4 0.500 0.000 0.155
Zn5 0.500 0.000 0.845
Zn6 0.000 0.500 0.845
Nd1 0.667 0.333 0.500
Nd2 0.333 0.667 0.500
Ho1 0.000 0.000 0.724
Ho2 0.000 0.000 0.276

=====

(2)
Entry from the Open Quantum Materials Database: a relaxed structure of NdHo3Zn2 (PBE).

Results
- space group = P4/mmm (123)
- E_form (meV per atom) = -231.7

a = 3.556 Å, b = 3.556 Å, c = 12.266 Å
α = 90.00°, β = 90.00°, γ = 90.00°
Sites, in units of the cell vectors:
Ho1 0.500 0.500 0.000
Ho2 0.500 0.500 0.286
Ho3 0.500 0.500 0.714
Zn1 0.000 0.000 0.143
Zn2 0.000 0.000 0.857
Nd1 0.000 0.000 0.500

=====

(3)
Entry from the Open Quantum Materials Database: a relaxed structure of Ho8Ni (PBE).

Results
- space group = P-62m (189)
- E_form (meV per atom) = -100.6

a = 9.037 Å, b = 9.037 Å, c = 3.614 Å
α = 90.00°, β = 90.00°, γ = 120.00°
Sites, in units of the cell vectors:
Ho1 0.333 0.667 0.500
Ho2 0.610 0.000 0.000
Ho3 0.763 0.763 0.500
Ho4 0.390 0.390 0.000
Ho5 0.667 0.333 0.500
Ho6 0.000 0.237 0.500
Ho7 0.000 0.610 0.000
Ho8 0.237 0.000 0.500
Ni1 0.000 0.000 0.000

=====

(4)
Entry from the Open Quantum Materials Database: a relaxed structure of Ho5Ni2 (PBE).

Results
- space group = C2/c (15)
- E_form (meV per atom) = -287.3

a = 8.679 Å, b = 8.679 Å, c = 6.801 Å
α = 95.90°, β = 95.90°, γ = 42.66°
Sites, in units of the cell vectors:
Ho1 0.649 0.784 0.312
Ho2 0.434 0.566 0.250
Ho3 0.351 0.216 0.688
Ho4 0.205 0.987 0.922
Ho5 0.795 0.013 0.078
Ho6 0.566 0.434 0.750
Ho7 0.784 0.649 0.812
Ho8 0.216 0.351 0.188
Ho9 0.987 0.205 0.422
Ho10 0.013 0.795 0.578
Ni1 0.186 0.594 0.932
Ni2 0.814 0.406 0.068
Ni3 0.406 0.814 0.568
Ni4 0.594 0.186 0.432